Entry 1:
VASP calculation (GGA-PBE) on crystalline Cr2GeC at its relaxed geometry.

Summary:
For the formation enthalpy at 0 K, the calculation gives -90 meV/atom. For the energy above the most stable polymorph in this dataset, the calculation gives 0 meV/atom. Its space-group type is P6_3/mmc.

The structure in extended XYZ format:
```
8
Lattice="2.939 0.000 0.000 -1.469 2.545 0.000 0.000 0.000 12.022" Properties=species:S:1:pos:R:3 pbc="T T T"
Cr 0.000 1.697 4.985
Cr 1.469 0.848 7.037
Cr 1.469 0.848 10.996
Cr 0.000 1.697 1.026
Ge 0.000 1.697 9.017
Ge 1.469 0.848 3.006
C 0.000 0.000 6.011
C 0.000 0.000 0.000
```


Entry 2:
VASP calculation (GGA-PBE) on crystalline CrGeC2 at its relaxed geometry.

Summary:
For the formation enthalpy at 0 K, the calculation gives 674 meV/atom. Its space-group type is I-42d.

The structure in extended XYZ format:
```
8
Lattice="-4.280 1.254 0.985 -0.368 -3.523 2.884 -0.768 1.497 5.348" Properties=species:S:1:pos:R:3 pbc="T T T"
Cr -2.324 -1.135 1.934
Cr -1.730 -1.581 5.083
Ge 0.000 0.000 0.000
Ge -3.687 0.808 4.134
C -2.876 0.706 2.304
C -0.995 -1.660 3.271
C -2.323 0.241 5.487
C -4.641 -0.833 7.371
```


Entry 3:
VASP calculation (GGA-PBE) on crystalline CrGeC3 at its relaxed geometry.

Summary:
For the formation enthalpy at 0 K, the calculation gives 1805 meV/atom. For the energy above the most stable polymorph in this dataset, the calculation gives 0 meV/atom. Its space-group type is Pm-3m.

The structure in extended XYZ format:
```
5
Lattice="3.854 0.000 0.000 0.000 3.854 0.000 0.000 0.000 3.854" Properties=species:S:1:pos:R:3 pbc="T T T"
Cr 0.000 0.000 0.000
Ge 1.927 1.927 1.927
C 0.000 1.927 0.000
C 0.000 0.000 1.927
C 1.927 0.000 0.000
```


Entry 4:
VASP calculation (GGA-PBE) on crystalline CrGeC at its relaxed geometry.

Summary:
For the formation enthalpy at 0 K, the calculation gives 943 meV/atom. Its space-group type is Cmcm.

The structure in extended XYZ format:
```
6
Lattice="3.359 0.000 0.000 0.000 3.595 0.000 0.000 1.798 6.505" Properties=species:S:1:pos:R:3 pbc="T T T"
Ge 0.840 1.798 4.784
Ge 2.520 3.595 1.721
Cr 0.840 1.798 1.094
Cr 2.520 3.595 5.410
C 2.520 3.595 3.735
C 0.840 1.798 2.769
```


Entry 5:
VASP calculation (GGA-PBE) on crystalline Cr8Ge2C3 at its relaxed geometry.

Summary:
For the formation enthalpy at 0 K, the calculation gives 128 meV/atom. Its space-group type is C2/m.

The structure in extended XYZ format:
```
13
Lattice="-3.042 -2.310 2.988 1.894 -4.887 -1.849 4.223 3.193 4.240" Properties=species:S:1:pos:R:3 pbc="T T T"
Cr -0.789 -4.312 2.234
Cr 3.865 0.308 3.145
Cr -1.813 -1.931 3.246
Cr 4.889 -2.072 2.133
Cr 2.903 -1.902 4.122
Cr 2.023 0.368 4.981
Cr 1.052 -4.371 0.398
Cr 0.172 -2.102 1.257
Ge 1.540 -0.389 2.606
Ge 1.536 -3.615 2.773
C -1.521 -1.155 1.494
C 0.478 -1.233 -0.467
C 1.416 -3.654 -1.383
```


Entry 6:
VASP calculation (GGA-PBE) on crystalline Cr4GeC at its relaxed geometry.

Summary:
For the formation enthalpy at 0 K, the calculation gives 220 meV/atom. Its space-group type is P2_1/c.

The structure in extended XYZ format:
```
12
Lattice="-0.529 5.945 0.374 -3.256 -0.506 3.440 3.737 -1.281 3.349" Properties=species:S:1:pos:R:3 pbc="T T T"
Cr -1.820 4.875 2.702
Cr 2.731 2.446 3.355
Cr 0.240 1.206 2.841
Cr -0.801 -0.142 4.955
Cr 1.771 -0.717 4.460
Cr -2.780 1.712 3.808
Cr -0.289 2.952 4.322
Cr 0.752 4.300 2.207
Ge 0.000 0.000 0.000
Ge -1.893 2.719 1.907
C 1.604 2.332 1.861
C 0.240 -0.894 3.394
```